GGA-PBE Cs2Pb2S3, optimized geometry; uncorrected formation energy = -0.786 eV/atom; magnetization = 0.00 μB per formula unit; final energy = -27.01 eV/f.u.
1.0
7.515 0.000 0.000
0.000 8.781 0.000
-1.562 0.000 8.220
Cs Pb S
4 4 6
direct
0.203 0.148 0.382 Cs
0.203 0.352 0.882 Cs
0.797 0.648 0.118 Cs
0.797 0.852 0.618 Cs
0.313 0.647 0.473 Pb
0.313 0.853 0.973 Pb
0.687 0.147 0.027 Pb
0.687 0.353 0.527 Pb
0.000 0.000 0.000 S
0.000 0.500 0.500 S
0.448 0.040 0.771 S
0.448 0.460 0.271 S
0.552 0.540 0.729 S
0.552 0.960 0.229 S